<A>
Density functional theory data (PBE) for TaTcAs after structural relaxation.

Values from the calculation:
mass density: 10.377 g/cm³
space-group type: F-43m (216)

a b c (Å): 4.310 4.310 4.310
angles (deg): 60.00 60.00 60.00
Fractional positions:
Ta: 0.000 0.000 0.000
Tc: 0.250 0.250 0.250
As: 0.750 0.750 0.750


<B>
Density functional theory data (PBE) for TaTcAs after structural relaxation.

Values from the calculation:
mass density: 10.732 g/cm³
space-group type: F-43m (216)

a b c (Å): 4.262 4.262 4.262
angles (deg): 60.00 60.00 60.00
Fractional positions:
Ta: 0.000 0.000 0.000
Tc: 0.750 0.750 0.750
As: 0.500 0.500 0.500


<B> is favored, and the nearest alternative lies 332 meV/atom above it.